Computed, not measured: a relaxed HfInFePt crystal at the PBE level of DFT.

Computed properties:
Theoretical density ... 13370 kg/m³
Spin magnetization ... 1.240 μB per formula unit
Volume ... 16.90 A^3/atom
Uncorrected energy ... -28.954 eV/cell
Energy of formation from the pure elements ... -0.4397 eV per atom

Unit cell a=4.572 b=4.572 c=4.572 alpha=60.00 beta=60.00 gamma=60.00
Each line ends with the local moment (μB).
Fractional positions:
Pt1 0.750 0.750 0.750  0.07
Hf1 0.000 0.000 0.000  -0.21
In1 0.500 0.500 0.500  -0.03
Fe1 0.250 0.250 0.250  1.47


Computed, not measured: a relaxed HfInFe2Rh crystal at the PBE level of DFT.

Computed properties:
Theoretical density ... 8279 kg/m³
Spin magnetization ... 3.894 μB per formula unit
Volume ... 20.37 A^3/atom
Uncorrected energy ... -31.752 eV/cell
Energy of formation from the pure elements ... 1.0434 eV per atom

Unit cell a=4.598 b=4.818 c=4.598 alpha=90.00 beta=90.00 gamma=90.00
Each line ends with the local moment (μB).
Fractional positions:
Fe1 0.500 0.000 0.000  2.21
Fe2 0.000 0.000 0.500  2.06
Rh1 0.000 0.500 0.000  0.06
In1 0.500 0.500 0.500  -0.03
Hf1 0.000 0.000 0.000  -0.35


Computed, not measured: a relaxed Hf2InFeSe crystal at the PBE level of DFT.

Computed properties:
Theoretical density ... 7013 kg/m³
Spin magnetization ... 2.401 μB per formula unit
Volume ... 28.72 A^3/atom
Uncorrected energy ... -26.655 eV/cell

Unit cell a=5.303 b=5.108 c=5.303 alpha=90.00 beta=90.00 gamma=90.00
Each line ends with the local moment (μB).
Fractional positions:
In1 0.000 0.000 0.000  -0.01
Hf1 0.500 0.000 0.000  0.26
Hf2 0.000 0.000 0.500  0.33
Se1 0.000 0.500 0.000  -0.07
Fe1 0.500 0.500 0.500  -3.23


Computed, not measured: a relaxed Hf2InFeTc crystal at the PBE level of DFT.

Computed properties:
Theoretical density ... 8913 kg/m³
Spin magnetization ... 0.521 μB per formula unit
Volume ... 23.31 A^3/atom
Uncorrected energy ... -32.326 eV/cell
Energy of formation from the pure elements ... 1.8296 eV per atom

Unit cell a=5.145 b=4.403 c=5.145 alpha=90.00 beta=90.00 gamma=90.00
Each line ends with the local moment (μB).
Fractional positions:
Tc1 0.500 0.500 0.500  0.95
Hf1 0.000 0.000 0.500  -0.12
Hf2 0.500 0.000 0.000  -0.13
In1 0.000 0.000 0.000  -0.01
Fe1 0.000 0.500 0.000  -0.11